# 1
The following is a PBE-GGA calculation of an optimized crystal structure of Cs2CePdO4, from the Alexandria database.

It has space group Fddd (No. 70, origin choice 2), with a = 6.1281 Å, b = 14.6583 Å, c = 23.3849 Å, α = 90.00°, β = 90.00° and γ = 90.00°. The asymmetric unit holds Cs at (0.1250, 0.1250, 0.3073), Ce at (0.1250, 0.1250, 0.1250), Pd at (0.1250, 0.1250, 0.6250) and O at (0.1183, 0.2779, 0.8721).

As for the calculated total energy: -367.6 eV per cell. The value obtained for the magnetic moment is 0.0 μB per cell.


# 2
The following is a PBE-GGA calculation of an optimized crystal structure of Tl6CdBi, from the Alexandria database.

It has space group P4/mmm (No. 123), with a = 5.4092 Å, b = 5.4092 Å, c = 8.3457 Å, α = 90.00°, β = 90.00° and γ = 90.00°. The asymmetric unit holds Tl at (0.0000, 0.0000, 0.0000), Tl at (0.0000, 0.0000, 0.5000), Tl at (0.0000, 0.5000, 0.2455), Cd at (0.5000, 0.5000, 0.0000) and Bi at (0.5000, 0.5000, 0.5000).

The calculated formation energy is 0.009 eV per atom. As for the calculated total energy: -18.9 eV per cell. The value obtained for the magnetic moment is 0.0 μB per cell.


# 3
The following is a PBE-GGA calculation of an optimized crystal structure of CsCd2GePd, from the Alexandria database.

It has space group P4/mmm (No. 123), with a = 5.4352 Å, b = 5.4352 Å, c = 4.9063 Å, α = 90.00°, β = 90.00° and γ = 90.00°. The asymmetric unit holds Cs at (0.0000, 0.0000, 0.0000), Cd at (0.0000, 0.5000, 0.5000), Ge at (0.5000, 0.5000, 0.0000) and Pd at (0.5000, 0.5000, 0.5000).

The calculated formation energy is -0.086 eV per atom. As for the calculated total energy: -12.9 eV per cell. The value obtained for the magnetic moment is 0.0 μB per cell.


# 4
The following is a PBE-GGA calculation of an optimized crystal structure of YAg2Sb, from the Alexandria database.

It has space group R3m (No. 160, hexagonal axes), with a = 3.4886 Å, b = 3.4886 Å, c = 27.5605 Å, α = 90.00°, β = 90.00° and γ = 120.00°. The asymmetric unit holds Y at (0.0000, 0.0000, 0.0000), Ag at (0.0000, 0.0000, 0.2507), Ag at (0.0000, 0.0000, 0.5096) and Sb at (0.0000, 0.0000, 0.7615).

As for the calculated total energy: -49.3 eV per cell. The value obtained for the magnetic moment is 0.0 μB per cell.


# 5
The following is a PBE-GGA calculation of an optimized crystal structure of Ga12Sb3Te5, from the Alexandria database.

It has space group Ia-3d (No. 230), with a = 17.0073 Å, b = 17.0073 Å, c = 17.0073 Å, α = 90.00°, β = 90.00° and γ = 90.00°. The asymmetric unit holds Ga at (0.0054, 0.0719, 0.6574), Sb at (0.0000, 0.2500, 0.1250), Te at (0.0000, 0.0000, 0.0000) and Te at (0.0000, 0.2500, 0.3750).

As for the calculated total energy: -513.1 eV per cell. The value obtained for the magnetic moment is 0.0 μB per cell.


# 6
The following is a PBE-GGA calculation of an optimized crystal structure of CaNdPdRh, from the Alexandria database.

It has space group F-43m (No. 216), with a = 7.0634 Å, b = 7.0634 Å, c = 7.0634 Å, α = 90.00°, β = 90.00° and γ = 90.00°. The asymmetric unit holds Ca at (0.0000, 0.0000, 0.0000), Nd at (0.0000, 0.0000, 0.5000), Pd at (0.2500, 0.2500, 0.2500) and Rh at (0.2500, 0.2500, 0.7500).

The calculated formation energy is -0.619 eV per atom. As for the calculated total energy: -87.2 eV per cell. The value obtained for the magnetic moment is 0.0 μB per cell.


# 7
The following is a PBE-GGA calculation of an optimized crystal structure of YMgB, from the Alexandria database.

It has space group Pnma (No. 62), with a = 6.8282 Å, b = 3.9447 Å, c = 7.9430 Å, α = 90.00°, β = 90.00° and γ = 90.00°. The asymmetric unit holds Y at (0.0252, 0.2500, 0.1762), Mg at (0.1448, 0.2500, 0.5555) and B at (0.2493, 0.7500, 0.3839).

The calculated formation energy is 0.031 eV per atom. As for the calculated total energy: -58.6 eV per cell. The value obtained for the magnetic moment is 0.0 μB per cell. For the distance to the lowest polymorph of the same formula, the calculation gives 29.7 kJ per mole of atoms.


# 8
The following is a PBE-GGA calculation of an optimized crystal structure of Th2TlInCo, from the Alexandria database.

It has space group P2_1/m (No. 11), with a = 8.6102 Å, b = 3.7876 Å, c = 9.0607 Å, α = 90.00°, β = 111.48° and γ = 90.00°. The asymmetric unit holds Th at (0.1187, 0.2500, 0.3864), Th at (0.1995, 0.2500, 0.0111), Tl at (0.4722, 0.7500, 0.3470), In at (0.3002, 0.7500, 0.7480) and Co at (0.1455, 0.7500, 0.1982).

The calculated formation energy is -0.163 eV per atom. As for the calculated total energy: -55.7 eV per cell. The value obtained for the magnetic moment is 0.0 μB per cell.


# 9
The following is a PBE-GGA calculation of an optimized crystal structure of Hf2TiHgB, from the Alexandria database.

It has space group P4/mmm (No. 123), with a = 4.5734 Å, b = 4.5734 Å, c = 4.3584 Å, α = 90.00°, β = 90.00° and γ = 90.00°. The asymmetric unit holds Hf at (0.0000, 0.5000, 0.0000), Ti at (0.0000, 0.0000, 0.5000), Hg at (0.5000, 0.5000, 0.5000) and B at (0.0000, 0.0000, 0.0000).

The calculated formation energy is -0.290 eV per atom. As for the calculated total energy: -36.2 eV per cell. The value obtained for the magnetic moment is 0.0 μB per cell.


# 10
The following is a PBE-GGA calculation of an optimized crystal structure of UTaBe17, from the Alexandria database.

It has space group R3m (No. 160, hexagonal axes), with a = 7.5238 Å, b = 7.5238 Å, c = 10.9999 Å, α = 90.00°, β = 90.00° and γ = 120.00°. The asymmetric unit holds U at (0.0000, 0.0000, 0.0000), Ta at (0.0000, 0.0000, 0.6764), Be at (0.0000, 0.0000, 0.2457), Be at (0.0000, 0.0000, 0.4387), Be at (0.0013, 0.5006, 0.1807), Be at (0.0030, 0.2878, 0.3390), Be at (0.0032, 0.5016, 0.4953) and Be at (0.1677, 0.3354, 0.1734).

The calculated formation energy is -0.076 eV per atom. As for the calculated total energy: -263.8 eV per cell. The value obtained for the magnetic moment is 5.3 μB per cell.


# 11
The following is a PBE-GGA calculation of an optimized crystal structure of Y3ErTh4Se8, from the Alexandria database.

It has space group R-3m (No. 166, hexagonal axes), with a = 8.0731 Å, b = 8.0731 Å, c = 21.3057 Å, α = 90.00°, β = 90.00° and γ = 120.00°. The asymmetric unit holds Y at (0.0000, 0.5000, 0.0000), Er at (0.0000, 0.0000, 0.0000), Th at (0.0000, 0.0000, 0.5000), Th at (0.0000, 0.5000, 0.5000), Se at (0.0000, 0.0000, 0.2551) and Se at (0.0021, 0.5011, 0.7444).

As for the calculated total energy: -323.4 eV per cell. The value obtained for the magnetic moment is 0.0 μB per cell.


# 12
The following is a PBE-GGA calculation of an optimized crystal structure of TbGa6Re, from the Alexandria database.

It has space group R-3m (No. 166, hexagonal axes), with a = 9.3202 Å, b = 9.3202 Å, c = 6.5207 Å, α = 90.00°, β = 90.00° and γ = 120.00°. The asymmetric unit holds Tb at (0.0000, 0.0000, 0.0000), Ga at (0.0471, 0.5235, 0.3102) and Re at (0.0000, 0.0000, 0.5000).

The calculated formation energy is -0.134 eV per atom. As for the calculated total energy: -108.9 eV per cell. The value obtained for the magnetic moment is 0.0 μB per cell.


- Which of these has the lowest calculated total energy?
  Ga12Sb3Te5


- Which value of calculated total energy does entry 10 give?
  -263.8 eV per cell